[1]
# Ga3HAu | the Alexandria database | PBEsol | relaxed
# energy	-3.311	eV per atom
# total magnetization	0.00	μB per formula unit
data_Ga3HAu
_cell_length_a 4.183
_cell_length_b 4.183
_cell_length_c 4.183
_cell_angle_alpha 90.00
_cell_angle_beta 90.00
_cell_angle_gamma 90.00
_symmetry_space_group_name_H-M 'P m -3 m'
_symmetry_Int_Tables_number 221
_symmetry_space_group_name_Hall '-P 4 2 3'
loop_
_atom_site_label
_atom_site_fract_x
_atom_site_fract_y
_atom_site_fract_z
Ga1 0.000 0.000 0.500
H1 0.000 0.000 0.000
Au1 0.500 0.500 0.500


[2]
# GaH2Au | the Alexandria database | PBEsol | relaxed
# energy	-3.160	eV per atom
# total magnetization	0.00	μB per formula unit
data_GaH2Au
_cell_length_a 4.916
_cell_length_b 4.916
_cell_length_c 8.245
_cell_angle_alpha 90.00
_cell_angle_beta 90.00
_cell_angle_gamma 90.00
_symmetry_space_group_name_H-M 'I -4 2 d'
_symmetry_Int_Tables_number 122
_symmetry_space_group_name_Hall 'I -4 2bw'
loop_
_atom_site_label
_atom_site_fract_x
_atom_site_fract_y
_atom_site_fract_z
Ga1 0.000 0.000 0.000
H1 0.161 0.750 0.625
Au1 0.000 0.000 0.500


[3]
# Hf3GaAu | the Alexandria database | PBEsol | relaxed
# energy	-7.197	eV per atom
# total magnetization	0.00	μB per formula unit
# formation enthalpy at 0 K	2.8	eV/f.u.
data_Hf3GaAu
_cell_length_a 4.824
_cell_length_b 4.824
_cell_length_c 4.824
_cell_angle_alpha 90.00
_cell_angle_beta 90.00
_cell_angle_gamma 90.00
_symmetry_space_group_name_H-M 'P m -3 m'
_symmetry_Int_Tables_number 221
_symmetry_space_group_name_Hall '-P 4 2 3'
loop_
_atom_site_label
_atom_site_fract_x
_atom_site_fract_y
_atom_site_fract_z
Hf1 0.000 0.000 0.500
Ga1 0.000 0.000 0.000
Au1 0.500 0.500 0.500


[4]
# HfGaAu3 | the Alexandria database | PBEsol | relaxed
# energy	-4.730	eV per atom
# total magnetization	0.00	μB per formula unit
# formation enthalpy at 0 K	2.0	eV/f.u.
data_HfGaAu3
_cell_length_a 4.670
_cell_length_b 4.670
_cell_length_c 4.670
_cell_angle_alpha 90.00
_cell_angle_beta 90.00
_cell_angle_gamma 90.00
_symmetry_space_group_name_H-M 'P m -3 m'
_symmetry_Int_Tables_number 221
_symmetry_space_group_name_Hall '-P 4 2 3'
loop_
_atom_site_label
_atom_site_fract_x
_atom_site_fract_y
_atom_site_fract_z
Hf1 0.000 0.000 0.000
Ga1 0.500 0.500 0.500
Au1 0.000 0.500 0.500